No. 1
A relaxed structure of CdNi2W, computed with PBE-GGA.

Cell and atoms, written as POSCAR:
```
CdNi2W
1.0
4.6484 0.0000 0.0000
0.0000 2.6856 0.0000
-2.2848 0.0000 4.6831
Cd Ni W
1 2 1
direct
0.0000 0.0000 0.0000
0.5000 0.0000 0.5000
0.5000 0.5000 0.0000
0.0000 0.5000 0.5000
```

D(E_F): 4.69 states/eV/f.u.
Calculated total energy: -5.91 eV/atom
Space group: P2/m, No. 10
Volume: 14.616 Å³/atom



No. 2
A relaxed structure of GeBSe2, computed with PBE-GGA.

Cell and atoms, written as POSCAR:
```
GeBSe2
1.0
6.5300 0.0000 0.0000
0.0000 6.5300 0.0000
0.0000 0.0000 6.5300
Ge B Se
4 4 8
direct
0.0000 0.0000 0.0000
0.0000 0.5000 0.5000
0.5000 0.0000 0.5000
0.5000 0.5000 0.0000
0.0000 0.0000 0.5000
0.0000 0.5000 0.0000
0.5000 0.0000 0.0000
0.5000 0.5000 0.5000
0.2500 0.2500 0.2500
0.2500 0.2500 0.7500
0.2500 0.7500 0.2500
0.2500 0.7500 0.7500
0.7500 0.2500 0.2500
0.7500 0.2500 0.7500
0.7500 0.7500 0.2500
0.7500 0.7500 0.7500
```

Distance to the lowest polymorph of the same formula: 732 meV/atom
ΔE_f (raw): 1032 meV per atom
D(E_F): 2.48 states/eV/f.u.
Calculated total energy: -3.53 eV/atom
Space group: Fm-3m, No. 225
Volume: 17.402 Å³/atom



No. 3
A relaxed structure of SrAgCl2, computed with PBE-GGA.

Cell and atoms, written as POSCAR:
```
SrAgCl2
1.0
7.3601 0.0000 0.0000
0.0000 7.3601 0.0000
0.0000 0.0000 7.3601
Sr Ag Cl
4 4 8
direct
0.0000 0.0000 0.0000
0.0000 0.5000 0.5000
0.5000 0.0000 0.5000
0.5000 0.5000 0.0000
0.0000 0.0000 0.5000
0.0000 0.5000 0.0000
0.5000 0.0000 0.0000
0.5000 0.5000 0.5000
0.2500 0.2500 0.2500
0.2500 0.2500 0.7500
0.2500 0.7500 0.2500
0.2500 0.7500 0.7500
0.7500 0.2500 0.2500
0.7500 0.2500 0.7500
0.7500 0.7500 0.2500
0.7500 0.7500 0.7500
```

Distance to the lowest polymorph of the same formula: 103 meV/atom
ΔE_f (raw): -1224 meV per atom
D(E_F): 2.64 states/eV/f.u.
Calculated total energy: -3.28 eV/atom
Space group: Fm-3m, No. 225
Volume: 24.919 Å³/atom